Record 1
{"formula": "CsErAuCl6", "functional": "PBE", "state": "relaxed", "formation_energy_uncorrected_ev_per_atom": -1.53, "energy_ev_per_atom": -3.728, "lattice_angstrom": [[6.7487, 0.3704, -0.1772], [3.6925, 6.4079, -0.3460], [-0.2158, -0.3626, 7.8162]], "species": ["Er", "Cl", "Cl", "Cl", "Au", "Cl", "Cs", "Cl", "Cl"], "fractional_positions": [[0.3628, 0.3184, 0.4999], [0.9832, 0.3855, 0.3093], [0.6103, 0.0401, 0.2592], [0.3595, 0.0119, 0.6574], [0.6633, 0.6685, 0.5003], [0.3585, 0.6291, 0.3429], [0.0639, 0.9684, 0.0004], [0.6135, 0.3476, 0.7394], [0.9849, 0.6305, 0.6910]]}

---

Record 2
{"formula": "Sr2YPbO5", "functional": "PBE", "state": "relaxed", "formation_energy_uncorrected_ev_per_atom": -2.40, "energy_ev_per_atom": -6.662, "lattice_angstrom": [[-2.5846, -1.4841, -1.9060], [-2.1818, -1.2296, 7.1990], [-5.8994, 10.3086, -0.0271]], "species": ["O", "Sr", "O", "Pb", "O", "Y", "Y", "O", "O", "Pb", "Sr", "Sr", "O", "O", "O", "O", "Sr", "O"], "fractional_positions": [[0.7337, 0.4675, 0.8719], [0.8686, 0.7371, 0.7403], [0.2663, 0.5325, 0.3719], [0.5054, 0.0109, 0.9734], [0.3789, 0.7578, 0.0703], [0.7610, 0.5220, 0.4989], [0.2390, 0.4780, 0.9989], [0.9174, 0.8347, 0.5287], [0.2796, 0.5592, 0.6308], [0.4946, 0.9891, 0.4734], [0.8698, 0.7396, 0.2226], [0.1314, 0.2629, 0.2403], [0.0826, 0.1653, 0.0287], [0.6211, 0.2422, 0.5703], [0.5095, 0.0190, 0.2872], [0.7204, 0.4408, 0.1308], [0.1302, 0.2604, 0.7226], [0.4905, 0.9810, 0.7872]]}

---

Record 3
{"formula": "PmSc6Tl3", "functional": "PBE", "state": "relaxed", "energy_ev_per_atom": -5.091, "lattice_angstrom": [[-0.1877, -5.8840, -5.6079], [-4.8406, -4.3798, 4.7574], [-5.8607, 3.9319, -3.9292]], "species": ["Sc", "Sc", "Sc", "Sc", "Sc", "Sc", "Tl", "Sc", "Tl", "Sc", "Pm", "Tl", "Sc", "Sc", "Tl", "Sc", "Tl", "Tl", "Sc", "Pm"], "fractional_positions": [[0.6608, 0.5992, 0.7359], [0.5816, 0.2317, 0.7683], [0.2006, 0.0228, 0.9772], [0.3045, 0.5797, 0.9364], [0.1608, 0.7359, 0.5992], [0.6608, 0.2641, 0.4008], [0.4582, 0.8947, 0.7215], [0.3045, 0.0636, 0.4203], [0.8576, 0.5773, 0.4227], [0.8045, 0.9364, 0.5797], [0.9986, 0.3047, 0.6953], [0.9582, 0.7215, 0.8947], [0.1608, 0.4008, 0.2641], [0.8045, 0.4203, 0.0636], [0.4582, 0.2785, 0.1053], [0.0816, 0.7683, 0.2317], [0.9582, 0.1053, 0.2785], [0.3576, 0.4227, 0.5773], [0.7006, 0.9772, 0.0228], [0.4986, 0.6953, 0.3047]]}

---

Record 4
{"formula": "La5PmY2Er", "functional": "PBE", "state": "relaxed", "energy_ev_per_atom": -4.910, "lattice_angstrom": [[-0.3484, 9.0743, 3.1365], [-7.3458, 1.7690, -5.9340], [-0.6705, -7.3313, 6.4218]], "species": ["Er", "Y", "La", "Y", "Er", "La", "La", "La", "La", "Y", "La", "Pm", "La", "Y", "La", "La", "La", "Pm"], "fractional_positions": [[0.7500, 0.2500, 0.5000], [0.3920, 0.8920, 0.0000], [0.8404, 0.9363, 0.2767], [0.6080, 0.1080, 0.0000], [0.2500, 0.7500, 0.5000], [0.3404, 0.8404, 0.2767], [0.5000, 0.5000, 0.0000], [0.4363, 0.3404, 0.2767], [0.9363, 0.4363, 0.2767], [0.1080, 0.3920, 0.0000], [0.6596, 0.1596, 0.7233], [0.7500, 0.7500, 0.5000], [0.0637, 0.5637, 0.7233], [0.8920, 0.6080, 0.0000], [0.5637, 0.6596, 0.7233], [0.1596, 0.0637, 0.7233], [0.0000, 0.0000, 0.0000], [0.2500, 0.2500, 0.5000]]}